## SrCeIn2I8 (GGA-PBE)

Data for a relaxed structure of SrCeIn2I8.

Cell and atoms, written as POSCAR:
```
SrCeIn2I8
1.0
7.4835 0.0000 0.0000
0.0000 9.6552 0.0000
-0.1843 0.0000 7.9943
Sr Ce In I
1 1 2 8
Direct
0.0000 0.0000 0.0000 Sr
0.0000 0.5000 0.0000 Ce
0.5000 0.2491 0.5000 In
0.5000 0.7509 0.5000 In
0.2248 0.5000 0.3193 I
0.2373 0.2667 0.8561 I
0.2373 0.7333 0.8561 I
0.2618 0.0000 0.3348 I
0.7382 0.0000 0.6652 I
0.7627 0.2667 0.1439 I
0.7627 0.7333 0.1439 I
0.7752 0.5000 0.6807 I
```

Calculated values
**Raw formation energy**: -1.034 eV/atom
**Crystal system**: monoclinic
**Symmetry**: P2/m, No. 10